Computed, not measured: crystalline KAg3Pb3 at its relaxed geometry at the PBE-GGA level of DFT.

DFT formation energy	1.7	eV/f.u.
VASP energy	-2.730	eV/atom
V	508	Å³ per cell

a b c (Å): 7.9771 7.9771 7.9771
angles (deg): 90.00 90.00 90.00
Last column: nearest neighbours and their distance in Å.
Fractional positions:
Pb  0.0000  0.2500  0.5000  4 Ag 2.82
Pb  0.0000  0.7500  0.5000  4 Ag 2.82
Pb  0.5000  0.0000  0.7500  4 Ag 2.82
Pb  0.7500  0.5000  0.0000  4 Ag 2.82
Pb  0.5000  0.0000  0.2500  4 Ag 2.82
Pb  0.2500  0.5000  0.0000  4 Ag 2.82
K  0.5000  0.5000  0.5000  12 Pb 4.46, 12 Ag 4.46
K  0.0000  0.0000  0.0000  12 Pb 4.46, 12 Ag 4.46
Ag  0.2500  0.0000  0.5000  4 Pb 2.82
Ag  0.0000  0.5000  0.2500  4 Pb 2.82
Ag  0.5000  0.7500  0.0000  4 Pb 2.82
Ag  0.7500  0.0000  0.5000  4 Pb 2.82
Ag  0.0000  0.5000  0.7500  4 Pb 2.82
Ag  0.5000  0.2500  0.0000  4 Pb 2.82